Here is crystalline Sm2Zn3Ga4Ir at its relaxed geometry from Alexandria. Energies are from PBE-GGA.

Properties
Fermi-level density of states   5.7 states/eV per cell
Space group   P-4m2 (115)
DFT total energy   -39.12 eV for the cell shown
E_form   -0.49 eV per atom

Cell and atoms, written as POSCAR:
```
Sm2Zn3Ga4Ir
1.0
-2.043 3.251 1.664
-1.124 -2.374 3.258
8.897 2.928 5.202
Sm Ga Zn Ir
2 4 3 1
Direct
0.500 0.000 0.253
0.000 0.500 0.747
0.500 0.000 0.632
0.000 0.000 0.000
0.000 0.500 0.368
0.500 0.500 0.000
0.500 0.000 0.861
0.000 0.500 0.139
0.000 0.000 0.500
0.500 0.500 0.500
```